1.
Crystalline K2TaAg at its relaxed geometry, computed with PBE.

As for the symmetry: Imm2, No. 44. Its calculated formation energy is 991 meV/atom. For the raw total energy, the calculation gives -12.9 eV per cell.

Cell: 7.5594 7.5594 7.5594 Å, 157.91 129.21 56.03°
With the nearest neighbours (Å) after each atom.
Sites, in units of the cell vectors:
1 K 0.0000 0.0000 0.0000  2 K 2.90
2 K 0.7023 0.2023 0.5000  2 K 2.90
3 Ta 0.2847 0.7847 0.5000  2 Ag 2.79, 2 Ta 2.90
4 Ag 0.4636 0.4636 0.0000  2 Ta 2.79, 2 Ag 2.90


2.
Crystalline MnCuCSeN at its relaxed geometry, computed with PBE.

As for the symmetry: P1, No. 1. The uncorrected formation energy is 0.198 eV/atom. For the raw total energy, the calculation gives -33.3 eV per cell.

Cell: 3.0648 4.1397 5.7471 Å, 97.83 95.38 108.27°
With the nearest neighbours (Å) after each atom.
Sites, in units of the cell vectors:
1 Mn 0.0000 0.0000 0.0000  1 N 1.75
2 Cu 0.7762 0.7102 0.5669  2 C 2.17-2.18
3 C 0.3128 0.6834 0.8324  1 N 1.26
4 Se 0.6153 0.1305 0.3306  2 Mn 2.41-2.42, 2 Cu 2.47-2.48
5 N 0.1829 0.3931 0.8956  1 C 1.26


3.
Crystalline CuTeSe4 at its relaxed geometry, computed with PBE.

As for the symmetry: F-43m, No. 216. The uncorrected formation energy is 0.744 eV/atom. For the raw total energy, the calculation gives -16.7 eV per cell.

Cell: 5.7208 5.7208 5.7208 Å, 60.00 60.00 60.00°
With the nearest neighbours (Å) after each atom.
Sites, in units of the cell vectors:
1 Cu 0.0000 0.0000 0.0000  12 Se 3.35, 4 Te 3.50
2 Te 0.2500 0.2500 0.2500  12 Se 3.36, 4 Cu 3.50
3 Se 0.1229 0.6257 0.6257  6 Se 2.84-2.88
4 Se 0.6257 0.1229 0.6257  6 Se 2.84-2.88
5 Se 0.6257 0.6257 0.1229  6 Se 2.84-2.88
6 Se 0.6257 0.6257 0.6257  6 Se 2.84-2.88


4.
Crystalline Nd3N2 at its relaxed geometry, computed with PBE.

As for the symmetry: R-3c, No. 167. The uncorrected formation energy is -0.974 eV/atom. For the raw total energy, the calculation gives -71.6 eV per cell.

Cell: 7.0189 7.0189 7.0189 Å, 52.93 52.93 52.93°
With the nearest neighbours (Å) after each atom.
Sites, in units of the cell vectors:
1 Nd 0.0728 0.7500 0.4272  4 N 2.55-2.57
2 Nd 0.2500 0.5728 0.9272  4 N 2.55-2.57
3 Nd 0.4272 0.0728 0.7500  4 N 2.55-2.57
4 Nd 0.5728 0.9272 0.2500  4 N 2.55-2.57
5 Nd 0.7500 0.4272 0.0728  4 N 2.55-2.57
6 Nd 0.9272 0.2500 0.5728  4 N 2.55-2.57
7 N 0.1621 0.1621 0.1621  6 Nd 2.55-2.57
8 N 0.3379 0.3379 0.3379  6 Nd 2.55-2.57
9 N 0.6621 0.6621 0.6621  6 Nd 2.55-2.57
10 N 0.8379 0.8379 0.8379  6 Nd 2.55-2.57


5.
Crystalline CsSiSe3 at its relaxed geometry, computed with PBE.

As for the symmetry: Pm-3m, No. 221. The uncorrected formation energy is -0.243 eV/atom. For the raw total energy, the calculation gives -17.9 eV per cell.

Cell: 5.1189 5.1189 5.1189 Å, 90.00 90.00 90.00°
With the nearest neighbours (Å) after each atom.
Sites, in units of the cell vectors:
1 Cs 0.0000 0.0000 0.0000  12 Se 3.62
2 Si 0.5000 0.5000 0.5000  6 Se 2.56
3 Se 0.0000 0.5000 0.5000  2 Si 2.56
4 Se 0.5000 0.0000 0.5000  2 Si 2.56
5 Se 0.5000 0.5000 0.0000  2 Si 2.56


6.
Crystalline LaCd3Pt2 at its relaxed geometry, computed with PBE.

As for the symmetry: C2/m, No. 12. Its calculated formation energy is -573 meV/atom. For the raw total energy, the calculation gives -46.4 eV per cell.

Cell: 8.8612 8.8612 9.2782 Å, 121.13 121.13 26.78°
With the nearest neighbours (Å) after each atom.
Sites, in units of the cell vectors:
1 La 0.1350 0.1350 0.1742  6 Pt 3.03-3.31
2 La 0.8650 0.8650 0.8258  6 Pt 3.03-3.31
3 Cd 0.0280 0.0280 0.6779  3 Pt 2.82-2.98, 5 Cd 2.90-3.16
4 Cd 0.3223 0.3223 0.1000  4 Pt 2.83-2.89, 4 Cd 2.99-3.08
5 Cd 0.3640 0.3640 0.5070  3 Pt 2.79-2.82
6 Cd 0.6360 0.6360 0.4930  3 Pt 2.79-2.82
7 Cd 0.6777 0.6777 0.9000  4 Pt 2.83-2.89, 4 Cd 2.99-3.08
8 Cd 0.9720 0.9720 0.3221  3 Pt 2.82-2.98, 5 Cd 2.90-3.16
9 Pt 0.2146 0.2146 0.7324  6 Cd 2.79-2.98, 2 La 3.05
10 Pt 0.4980 0.4980 0.1438  1 Pt 2.71, 4 Cd 2.82-2.83, 2 La 3.03
11 Pt 0.5020 0.5020 0.8562  1 Pt 2.71, 4 Cd 2.82-2.83, 2 La 3.03
12 Pt 0.7854 0.7854 0.2676  6 Cd 2.79-2.98, 2 La 3.05